1.
DFT (GGA-PBE) results for a geometry-optimized YPb2Br structure.

## Properties
Total DFT energy (no corrections), eV per atom: -4.2897
Calculated density, g/cm3: 7.772
DOS at the Fermi energy, states/eV per atom: 0.821
Formation energy from raw total energies, meV per atom: -401.2

abc: 3.706 5.895 5.716
angles: 90.00 93.84 90.00
Positions (direct):
Y (0.000, 0.000, 0.000)
Pb (0.307, 0.500, 0.229)
Pb (0.693, 0.500, 0.771)
Br (0.000, 0.000, 0.500)

2.
DFT (GGA-PBE) results for a geometry-optimized YPb2Br structure.

## Properties
Total DFT energy (no corrections), eV per atom: -4.0472
Calculated density, g/cm3: 7.955
DOS at the Fermi energy, states/eV per atom: 0.842
Formation energy from raw total energies, meV per atom: -158.8

abc: 3.946 6.090 10.133
angles: 90.00 90.00 90.00
Positions (direct):
Y (0.000, 0.000, 0.000)
Y (0.500, 0.500, 0.000)
Pb (0.000, 0.500, 0.258)
Pb (0.000, 0.500, 0.742)
Pb (0.500, 0.000, 0.258)
Pb (0.500, 0.000, 0.742)
Br (0.000, 0.000, 0.500)
Br (0.500, 0.500, 0.500)

3.
DFT (GGA-PBE) results for a geometry-optimized YPb2Br structure.

## Properties
Total DFT energy (no corrections), eV per atom: -4.4014
Calculated density, g/cm3: 7.863
DOS at the Fermi energy, states/eV per atom: 0.652
Formation energy from raw total energies, meV per atom: -513.0

abc: 3.526 4.860 14.373
angles: 90.00 90.00 90.00
Positions (direct):
Y (0.000, 0.000, 0.000)
Y (0.500, 0.500, 0.500)
Pb (0.000, 0.500, 0.296)
Pb (0.000, 0.500, 0.704)
Pb (0.500, 0.000, 0.204)
Pb (0.500, 0.000, 0.796)
Br (0.000, 0.000, 0.500)
Br (0.500, 0.500, 0.000)

4.
DFT (GGA-PBE) results for a geometry-optimized YPb2Br structure.

## Properties
Total DFT energy (no corrections), eV per atom: -4.3002
Calculated density, g/cm3: 8.544
DOS at the Fermi energy, states/eV per atom: 0.757
Formation energy from raw total energies, meV per atom: -411.8

abc: 4.502 4.502 11.186
angles: 90.00 90.00 90.00
Positions (direct):
Y (0.000, 0.000, 0.000)
Y (0.500, 0.500, 0.500)
Pb (0.000, 0.500, 0.250)
Pb (0.000, 0.500, 0.750)
Pb (0.500, 0.000, 0.250)
Pb (0.500, 0.000, 0.750)
Br (0.000, 0.000, 0.500)
Br (0.500, 0.500, 0.000)

5.
DFT (GGA-PBE) results for a geometry-optimized YPb2Br structure.

## Properties
Total DFT energy (no corrections), eV per atom: -4.1533
Calculated density, g/cm3: 6.569
DOS at the Fermi energy, states/eV per atom: 0.960
Formation energy from raw total energies, meV per atom: -264.8

abc: 10.408 10.408 5.444
angles: 90.00 90.00 90.00
Positions (direct):
Y (0.000, 0.000, 0.000)
Y (0.000, 0.500, 0.250)
Y (0.500, 0.000, 0.750)
Y (0.500, 0.500, 0.500)
Pb (0.176, 0.250, 0.125)
Pb (0.250, 0.676, 0.375)
Pb (0.250, 0.824, 0.875)
Pb (0.324, 0.250, 0.625)
Pb (0.676, 0.750, 0.625)
Pb (0.750, 0.176, 0.875)
Pb (0.750, 0.324, 0.375)
Pb (0.824, 0.750, 0.125)
Br (0.000, 0.000, 0.500)
Br (0.000, 0.500, 0.750)
Br (0.500, 0.000, 0.250)
Br (0.500, 0.500, 0.000)

6.
DFT (GGA-PBE) results for a geometry-optimized YPb4Br structure.

## Properties
Total DFT energy (no corrections), eV per atom: -3.9351
Calculated density, g/cm3: 8.765
DOS at the Fermi energy, states/eV per atom: 0.474
Formation energy from raw total energies, meV per atom: -106.7

abc: 6.442 6.442 6.442
angles: 60.00 60.00 60.00
Positions (direct):
Y (0.000, 0.000, 0.000)
Pb (0.374, 0.374, 0.374)
Pb (0.374, 0.374, 0.877)
Pb (0.374, 0.877, 0.374)
Pb (0.877, 0.374, 0.374)
Br (0.750, 0.750, 0.750)